1.
VASP calculation (SCAN) on a crystal of CrBr2Cl relaxed with PBEsol.

ρ ... 4.4 g cm⁻³
Relative energy among the computed polymorphs ... 0.34 eV/f.u.
E_form (uncorrected) ... -347 meV/atom

a b c (Å): 3.1357 3.1357 9.4532
angles (deg): 90.00 90.00 90.00
Space group P4mm (No. 99)
Symmetry-distinct sites (fractional):
Cr: 0.0000 0.0000 0.0000 x1
Br: 0.0000 0.0000 0.5113 x1
Br: 0.5000 0.5000 0.1728 x1
Cl: 0.5000 0.5000 0.8484 x1

2.
VASP calculation (SCAN) on a crystal of AlAg2SnOs relaxed with PBEsol.

Calculated total energy ... -1.255 Ha/atom
ρ ... 8.7 g cm⁻³

a b c (Å): 4.5746 4.5746 5.0482
angles (deg): 90.00 90.00 90.00
Space group P4/mmm (No. 123)
Symmetry-distinct sites (fractional):
Al: 0.0000 0.0000 0.0000 x1
Ag: 0.0000 0.5000 0.0000 x2
Sn: 0.0000 0.0000 0.5000 x1
Os: 0.5000 0.5000 0.5000 x1